Material: La5PrDy
Method: DFT, PBE-GGA
State: optimized geometry

a = 12.2163 Å, b = 7.0357 Å, c = 12.7468 Å
α = 90.00°, β = 112.16°, γ = 90.00°
Space group C2/c (No. 15)
Unique sites:
La1 0.0000 0.0789 0.2500 (multiplicity 4)
La2 0.0773 0.2338 0.0015 (multiplicity 8)
La3 0.2198 0.1333 0.7526 (multiplicity 8)
Pr1 0.2500 0.2500 0.5000 (multiplicity 4)
Dy1 0.0000 0.4720 0.7500 (multiplicity 4)

Properties
* energy relative to the elements: 0.129 eV per atom